(1)
This record from the Alexandria database describes a relaxed LaPm6Al crystal. The functional is PBE.

Lattice parameters (Å, degrees): 4.969 4.969 10.347 90.00 90.00 90.00
Space group P4/mmm (No. 123)
One atom of each set of equivalent atoms:
La1 0.000 0.000 0.000 [1 per cell]
Pm1 0.000 0.500 0.266 [4 per cell]
Pm2 0.500 0.500 0.000 [1 per cell]
Pm3 0.500 0.500 0.500 [1 per cell]
Al1 0.000 0.000 0.500 [1 per cell]


(2)
This record from the Alexandria database describes a relaxed La8Pm2Al crystal. The functional is PBE.

Lattice parameters (Å, degrees): 18.655 5.060 8.228 90.00 105.62 90.00
Space group C2/m (No. 12)
One atom of each set of equivalent atoms:
La1 0.044 0.000 0.242 [4 per cell]
La2 0.088 0.500 0.941 [4 per cell]
La3 0.132 0.000 0.673 [4 per cell]
La4 0.174 0.500 0.410 [4 per cell]
Pm1 0.227 0.000 0.137 [4 per cell]
Al1 0.000 0.500 0.500 [2 per cell]


(3)
This record from the Alexandria database describes a relaxed La6Pm2Al crystal. The functional is PBE.

Lattice parameters (Å, degrees): 9.7802 9.7802 3.7345 90.00 90.00 120.00
Space group P-62m (No. 189)
One atom of each set of equivalent atoms:
La1 0.0000 0.3636 0.0000 [3 per cell]
La2 0.0000 0.7282 0.5000 [3 per cell]
Pm1 0.3333 0.6667 0.5000 [2 per cell]
Al1 0.0000 0.0000 0.0000 [1 per cell]


(4)
This record from the Alexandria database describes a relaxed LaPm14Al crystal. The functional is PBE.

Lattice parameters (Å, degrees): 11.559 7.316 12.633 90.00 90.00 90.00
Space group Amm2 (No. 38)
One atom of each set of equivalent atoms:
La1 0.000 0.000 0.000 [2 per cell]
Pm1 0.000 0.237 0.764 [4 per cell]
Pm2 0.233 0.000 0.348 [4 per cell]
Pm3 0.235 0.243 0.592 [8 per cell]
Pm4 0.262 0.000 0.843 [4 per cell]
Pm5 0.500 0.000 0.015 [2 per cell]
Pm6 0.500 0.000 0.511 [2 per cell]
Pm7 0.500 0.245 0.259 [4 per cell]
Al1 0.000 0.000 0.511 [2 per cell]


Number 1: spin magnetization 0.00 μB/f.u., energy of formation from the pure elements -0.394 eV per formula unit. Number 2: spin magnetization 0.00 μB/f.u., energy of formation from the pure elements -0.373 eV per formula unit. Number 3: spin magnetization 0.00 μB/f.u., energy of formation from the pure elements -0.608 eV per formula unit. Number 4: spin magnetization 0.00 μB/f.u., energy of formation from the pure elements -0.103 eV per formula unit.